Here is a geometry-optimized InBBr2 structure from Alexandria. Energies are from PBE-GGA.

Output
D(E_F)	0.00	states/eV/f.u.
ΔE_f (raw)	0.72	eV per atom
magnetization	0.00	μB per formula unit
DFT total energy	-39.530	eV for the cell shown
symmetry	Fm-3m

a b c (Å): 7.497 7.497 7.497
angles (deg): 90.00 90.00 90.00
Fractional positions:
In: 0.000 0.000 0.000
In: 0.000 0.500 0.500
In: 0.500 0.000 0.500
In: 0.500 0.500 0.000
B: 0.000 0.000 0.500
B: 0.000 0.500 0.000
B: 0.500 0.000 0.000
B: 0.500 0.500 0.500
Br: 0.250 0.250 0.250
Br: 0.250 0.250 0.750
Br: 0.250 0.750 0.250
Br: 0.250 0.750 0.750
Br: 0.750 0.250 0.250
Br: 0.750 0.250 0.750
Br: 0.750 0.750 0.250
Br: 0.750 0.750 0.750



Here is a geometry-optimized In3BBr structure from Alexandria. Energies are from PBE-GGA.

Output
D(E_F)	4.76	states/eV/f.u.
ΔE_f (raw)	1.27	eV per atom
magnetization	1.43	μB per formula unit
DFT total energy	-10.229	eV for the cell shown
symmetry	Pm-3m

a b c (Å): 5.968 5.968 5.968
angles (deg): 90.00 90.00 90.00
Fractional positions:
In: 0.000 0.000 0.500
In: 0.000 0.500 0.000
In: 0.500 0.000 0.000
B: 0.500 0.500 0.500
Br: 0.000 0.000 0.000



Here is a geometry-optimized In3BBr structure from Alexandria. Energies are from PBE-GGA.

Output
D(E_F)	2.36	states/eV/f.u.
ΔE_f (raw)	0.28	eV per atom
magnetization	0.00	μB per formula unit
DFT total energy	-15.142	eV for the cell shown
symmetry	Pm-3m

a b c (Å): 5.017 5.017 5.017
angles (deg): 90.00 90.00 90.00
Fractional positions:
In: 0.000 0.000 0.500
In: 0.000 0.500 0.000
In: 0.500 0.000 0.000
B: 0.000 0.000 0.000
Br: 0.500 0.500 0.500



Here is a geometry-optimized InBBr2 structure from Alexandria. Energies are from PBE-GGA.

Output
D(E_F)	2.50	states/eV/f.u.
ΔE_f (raw)	0.54	eV per atom
magnetization	0.00	μB per formula unit
DFT total energy	-42.385	eV for the cell shown
symmetry	I-42d

a b c (Å): 6.696 6.696 11.674
angles (deg): 90.00 90.00 90.00
Fractional positions:
In: 0.000 0.000 0.000
In: 0.000 0.500 0.250
In: 0.500 0.000 0.750
In: 0.500 0.500 0.500
B: 0.000 0.000 0.500
B: 0.000 0.500 0.750
B: 0.500 0.000 0.250
B: 0.500 0.500 0.000
Br: 0.093 0.250 0.625
Br: 0.250 0.593 0.875
Br: 0.250 0.907 0.375
Br: 0.407 0.250 0.125
Br: 0.593 0.750 0.125
Br: 0.750 0.093 0.375
Br: 0.750 0.407 0.875
Br: 0.907 0.750 0.625



Here is a geometry-optimized InBBr2 structure from Alexandria. Energies are from PBE-GGA.

Output
D(E_F)	2.48	states/eV/f.u.
ΔE_f (raw)	0.59	eV per atom
magnetization	0.00	μB per formula unit
DFT total energy	-31.174	eV for the cell shown
symmetry	R-3m

a b c (Å): 3.526 3.526 27.455
angles (deg): 90.00 90.00 120.00
Fractional positions:
In: 0.000 0.000 0.000
In: 0.333 0.667 0.667
In: 0.667 0.333 0.333
B: 0.000 0.000 0.500
B: 0.333 0.667 0.167
B: 0.667 0.333 0.833
Br: 0.000 0.000 0.113
Br: 0.000 0.000 0.887
Br: 0.333 0.667 0.554
Br: 0.333 0.667 0.780
Br: 0.667 0.333 0.220
Br: 0.667 0.333 0.446



Here is a geometry-optimized In2BBr structure from Alexandria. Energies are from PBE-GGA.

Output
D(E_F)	2.12	states/eV/f.u.
ΔE_f (raw)	0.87	eV per atom
magnetization	0.00	μB per formula unit
DFT total energy	-41.441	eV for the cell shown
symmetry	Fm-3m

a b c (Å): 7.196 7.196 7.196
angles (deg): 90.00 90.00 90.00
Fractional positions:
In: 0.250 0.250 0.250
In: 0.250 0.250 0.750
In: 0.250 0.750 0.250
In: 0.250 0.750 0.750
In: 0.750 0.250 0.250
In: 0.750 0.250 0.750
In: 0.750 0.750 0.250
In: 0.750 0.750 0.750
B: 0.000 0.000 0.000
B: 0.000 0.500 0.500
B: 0.500 0.000 0.500
B: 0.500 0.500 0.000
Br: 0.000 0.000 0.500
Br: 0.000 0.500 0.000
Br: 0.500 0.000 0.000
Br: 0.500 0.500 0.500



What did the third record say?
Here is a geometry-optimized In3BBr structure from Alexandria. Energies are from PBE-GGA.

Output
D(E_F)	2.36	states/eV/f.u.
ΔE_f (raw)	0.28	eV per atom
magnetization	0.00	μB per formula unit
DFT total energy	-15.142	eV for the cell shown
symmetry	Pm-3m

a b c (Å): 5.017 5.017 5.017
angles (deg): 90.00 90.00 90.00
Fractional positions:
In: 0.000 0.000 0.500
In: 0.000 0.500 0.000
In: 0.500 0.000 0.000
B: 0.000 0.000 0.000
Br: 0.500 0.500 0.500



Question: Which of these has the highest DFT total energy?
Answer: number 2